No. 1
{
  "formula": "BaGa3Re",
  "functional": "PBE",
  "state": "optimized geometry",
  "e_form_ev_per_atom": 2.43,
  "spacegroup": "Pm-3m (221)",
  "lattice": [[5.5308, 0.0000, 0.0000], [0.0000, 5.5308, 0.0000], [0.0000, 0.0000, 5.5308]],
  "species": ["Ba", "Ga", "Ga", "Ga", "Re"],
  "frac_coords": [[0.0000, 0.0000, 0.0000], [0.0000, 0.0000, 0.5000], [0.0000, 0.5000, 0.0000], [0.5000, 0.0000, 0.0000], [0.5000, 0.5000, 0.5000]]
}

***

No. 2
{
  "formula": "BaGaRe2",
  "functional": "PBE",
  "state": "optimized geometry",
  "e_form_ev_per_atom": 1.49,
  "spacegroup": "Fm-3m (225)",
  "lattice": [[0.0000, 3.3494, 3.3494], [3.3494, 0.0000, 3.3494], [3.3494, 3.3494, 0.0000]],
  "species": ["Ba", "Ga", "Re", "Re"],
  "frac_coords": [[0.0000, 0.0000, 0.0000], [0.5000, 0.5000, 0.5000], [0.2500, 0.2500, 0.2500], [0.7500, 0.7500, 0.7500]]
}

***

No. 3
{
  "formula": "BaGaRe2",
  "functional": "PBE",
  "state": "optimized geometry",
  "e_form_ev_per_atom": 0.83,
  "spacegroup": "I-42d (122)",
  "lattice": [[-2.4059, 2.4059, 9.1808], [2.4059, -2.4059, 9.1808], [2.4059, 2.4059, -9.1808]],
  "species": ["Ba", "Ba", "Ga", "Ga", "Re", "Re", "Re", "Re"],
  "frac_coords": [[0.0000, 0.0000, 0.0000], [0.7500, 0.2500, 0.5000], [0.2500, 0.7500, 0.5000], [0.5000, 0.5000, 0.0000], [0.3346, 0.1250, 0.7096], [0.3750, 0.6654, 0.7904], [0.4154, 0.6250, 0.2904], [0.8750, 0.5846, 0.2096]]
}

***

VASP energy readings, ordered: -11.3, -23.9, -26.5 eV per formula unit
Energy above the most stable polymorph in this dataset readings, ordered: 267.1, 63.8, 0.0 kJ/mol of atoms
Calculated volume readings, ordered: 169.2, 75.1, 212.6 Å³/cell